Er5GeSe4 | PBE-GGA | relaxed

## Properties
The value obtained for the size of the total moment is 0.0 μB/f.u. The calculation puts the raw formation energy at -1.601 eV per atom. The symmetry is No. 71.

abc: 4.074 5.723 10.742
angles: 105.45 100.93 90.00
Sites, in units of the cell vectors:
Er1 0.595 0.095 0.191
Er2 0.800 0.300 0.601
Er3 0.200 0.700 0.399
Er4 0.000 0.500 0.000
Er5 0.405 0.905 0.809
Ge1 0.000 0.000 0.000
Se1 0.398 0.398 0.797
Se2 0.800 0.800 0.600
Se3 0.200 0.200 0.400
Se4 0.602 0.602 0.203

Er6SiGe2Se3 | PBE-GGA | relaxed

## Properties
The value obtained for the size of the total moment is 0.0 μB/f.u. The calculation puts the raw formation energy at -1.336 eV per atom. The symmetry is No. 12.

abc: 4.087 8.213 9.172
angles: 103.57 102.87 90.00
Sites, in units of the cell vectors:
Er1 0.337 0.910 0.674
Er2 0.669 0.575 0.339
Er3 0.663 0.090 0.326
Er4 0.003 0.240 0.005
Er5 0.997 0.760 0.995
Er6 0.331 0.425 0.661
Si1 0.500 0.000 0.000
Ge1 0.833 0.667 0.667
Ge2 0.167 0.333 0.333
Se1 0.500 0.500 0.000
Se2 0.833 0.167 0.666
Se3 0.167 0.833 0.334